# YErH2Cl4

YErH2Cl4 after structural relaxation (PBE, the Open Quantum Materials Database).

Properties
Calculated total energy, Ry per atom: -0.3607
Mass density, kg/m³: 4147
Calculated volume, Å³ per cell: 160.2

Cell: 3.721 3.721 13.357 Å, 90.00 90.00 120.00°
Positions (direct):
Y  0.000  0.000  0.000
Er  0.000  0.000  0.500
H  0.333  0.667  0.000
H  0.667  0.333  0.500
Cl  0.333  0.667  0.370
Cl  0.333  0.667  0.630
Cl  0.667  0.333  0.132
Cl  0.667  0.333  0.868

=====

# KGeAu3

KGeAu3 after structural relaxation (PBE, the Open Quantum Materials Database).

Properties
Calculated total energy, Ry per atom: -0.2464
Mass density, kg/m³: 9572
Calculated volume, Å³ per cell: 121.9

Cell: 4.761 5.061 5.061 Å, 88.41 90.00 90.00°
Positions (direct):
K  0.000  0.000  0.000
Ge  0.500  0.620  0.620
Au  0.000  0.478  0.478
Au  0.500  0.103  0.505
Au  0.500  0.505  0.103

=====

# TbNd2Se3

TbNd2Se3 after structural relaxation (PBE, the Open Quantum Materials Database).

Properties
Calculated total energy, Ry per atom: -0.4352
Mass density, kg/m³: 7348
Calculated volume, Å³ per cell: 154.6

Cell: 4.164 4.164 10.297 Å, 90.00 90.00 120.00°
Positions (direct):
Tb  0.000  0.000  0.000
Nd  0.333  0.667  0.669
Nd  0.667  0.333  0.331
Se  0.000  0.000  0.500
Se  0.333  0.667  0.157
Se  0.667  0.333  0.843

=====

Question: calculated total energy of number 1 (YErH2Cl4)?
Answer: -0.3607 Ry per atom

=====

Question: Look up the mass density of the third one.
Answer: 7348 kg/m³